Material: Sc2CdTe
Method: DFT, PBE-GGA
State: optimized geometry

Cell: 3.7109 3.7109 6.6664 Å, 90.00 90.00 90.00°
Atoms (fractional coordinates):
Sc (0.0000, 0.0000, 0.2456)
Sc (0.0000, 0.0000, 0.7544)
Cd (0.5000, 0.5000, 0.5000)
Te (0.5000, 0.5000, 0.0000)

Calculated values
Uncorrected energy (eV/atom): -4.73



Material: Te3WC
Method: DFT, PBE-GGA
State: optimized geometry

Cell: 4.6498 4.6498 4.6498 Å, 90.00 90.00 90.00°
Atoms (fractional coordinates):
Te (0.0000, 0.0000, 0.5000)
Te (0.0000, 0.5000, 0.0000)
Te (0.5000, 0.0000, 0.0000)
W (0.5000, 0.5000, 0.5000)
C (0.0000, 0.0000, 0.0000)

Calculated values
Uncorrected energy (eV/atom): -4.79



Material: AlFeAs
Method: DFT, PBE-GGA
State: optimized geometry

Cell: 2.9619 5.6348 6.0745 Å, 90.00 90.00 90.00°
Atoms (fractional coordinates):
Al (0.0000, 0.0269, 0.0000)
Al (0.5000, 0.9731, 0.5000)
Fe (0.0000, 0.7219, 0.2782)
Fe (0.5000, 0.2781, 0.7782)
As (0.0000, 0.4639, 0.5594)
As (0.5000, 0.5361, 0.0594)

Calculated values
Energy of formation from the pure elements (eV/atom): -0.105



Material: Ca2ZrPb
Method: DFT, PBE-GGA
State: optimized geometry

Cell: 7.0069 7.0069 7.0069 Å, 101.81 101.81 126.20°
Atoms (fractional coordinates):
Ca (0.1069, 0.1250, 0.4819)
Ca (0.3750, 0.8931, 0.0181)
Ca (0.6431, 0.6250, 0.5181)
Ca (0.8750, 0.3569, 0.9819)
Zr (0.2500, 0.7500, 0.5000)
Zr (0.5000, 0.5000, 0.0000)
Pb (0.0000, 0.0000, 0.0000)
Pb (0.7500, 0.2500, 0.5000)

Calculated values
Energy of formation from the pure elements (eV/atom): 0.316